A plane-wave DFT calculation with SCAN was carried out for a PBEsol-optimized structure of Mg3In4.

The structure in extended XYZ format:
```
7
Lattice="3.943 0.000 0.000 0.000 3.943 0.000 -1.971 -1.971 10.682" Properties=species:S:1:pos:R:3 pbc="T T T"
In 0.000 0.000 3.088
In 0.000 0.000 9.151
In 1.971 1.971 1.531
In 1.971 1.971 7.594
Mg 0.000 0.000 0.000
Mg 0.000 0.000 6.131
Mg 1.971 1.971 4.551
```

Computed properties:
Space group: I4/mmm (139)
Offset from the most stable computed form, meV per atom: 0
ΔH_f (0 K), meV/atom: -85
Magnetic moment, μB/cell: 0.00



A plane-wave DFT calculation with SCAN was carried out for a PBEsol-optimized structure of MgIn7.

The structure in extended XYZ format:
```
8
Lattice="6.545 0.000 0.000 3.273 5.668 0.000 3.273 1.889 5.344" Properties=species:S:1:pos:R:3 pbc="T T T"
In 3.273 0.000 0.000
In 4.909 2.834 0.000
In 1.636 2.834 0.000
In 4.909 0.945 2.672
In 1.636 0.945 2.672
In 3.273 3.779 2.672
In 6.545 3.779 2.672
Mg 0.000 0.000 0.000
```

Computed properties:
Space group: Fm-3m (225)
ΔH_f (0 K), meV/atom: -1
Magnetic moment, μB/cell: 0.00



A plane-wave DFT calculation with SCAN was carried out for a PBEsol-optimized structure of Mg3In.

The structure in extended XYZ format:
```
4
Lattice="-1.433 1.241 2.709 -3.742 -1.937 -1.092 1.685 -5.067 3.212" Properties=species:S:1:pos:R:3 pbc="T T T"
Mg 0.843 -2.534 1.606
Mg -2.169 -1.607 1.607
Mg -1.321 -4.156 3.223
In 0.000 0.000 0.000
```

Computed properties:
Space group: Pmmm (47)
ΔH_f (0 K), meV/atom: -113
Magnetic moment, μB/cell: 0.01